(1)
Cs2MnRhCl6 | PBE | relaxed

Properties
- SG = I4/mmm, No. 139
- E_form (uncorrected) (eV per atom) = -1.207
- crystal system = tetragonal

abc: 7.173 7.173 7.173
angles: 119.98 119.98 90.03
Element x y z (fractional)
Cs 0.250 0.750 0.500
Cs 0.750 0.250 0.500
Mn 0.000 0.000 0.000
Rh 0.500 0.500 0.000
Cl 0.250 0.250 0.500
Cl 0.250 0.750 0.000
Cl 0.251 0.251 0.000
Cl 0.749 0.749 0.000
Cl 0.750 0.250 0.000
Cl 0.750 0.750 0.500

---

(2)
ZrO | PBE | relaxed

Properties
- SG = P2_12_12_1, No. 19
- E_form (uncorrected) (eV per atom) = -2.425
- crystal system = orthorhombic

abc: 5.461 5.983 7.162
angles: 90.00 90.00 90.00
Element x y z (fractional)
Zr 0.036 0.183 0.103
Zr 0.046 0.199 0.653
Zr 0.454 0.801 0.153
Zr 0.464 0.817 0.603
Zr 0.536 0.317 0.897
Zr 0.546 0.301 0.347
Zr 0.954 0.699 0.847
Zr 0.964 0.683 0.397
O 0.059 0.822 0.122
O 0.186 0.557 0.640
O 0.314 0.443 0.140
O 0.441 0.178 0.622
O 0.559 0.678 0.878
O 0.686 0.943 0.360
O 0.814 0.057 0.860
O 0.941 0.322 0.378

---

(3)
ErPuAgBi | PBE | relaxed

Properties
- SG = F-43m, No. 216
- crystal system = cubic
- DFT formation energy (meV per atom) = -274

abc: 7.519 7.519 7.519
angles: 90.00 90.00 90.00
Element x y z (fractional)
Er 0.000 0.000 0.000
Er 0.000 0.500 0.500
Er 0.500 0.000 0.500
Er 0.500 0.500 0.000
Pu 0.000 0.000 0.500
Pu 0.000 0.500 0.000
Pu 0.500 0.000 0.000
Pu 0.500 0.500 0.500
Ag 0.250 0.250 0.750
Ag 0.250 0.750 0.250
Ag 0.750 0.250 0.250
Ag 0.750 0.750 0.750
Bi 0.250 0.250 0.250
Bi 0.250 0.750 0.750
Bi 0.750 0.250 0.750
Bi 0.750 0.750 0.250

---

(4)
Cs2MnSbS4 | PBE | relaxed

Properties
- SG = Fddd, No. 70
- E_form (uncorrected) (eV per atom) = -0.713
- crystal system = orthorhombic

abc: 14.236 12.700 7.925
angles: 83.89 62.50 33.61
Element x y z (fractional)
Cs 0.053 0.053 0.697
Cs 0.303 0.303 0.947
Cs 0.697 0.697 0.053
Cs 0.947 0.947 0.303
Mn 0.125 0.125 0.125
Mn 0.875 0.875 0.875
Sb 0.375 0.375 0.375
Sb 0.625 0.625 0.625
S 0.032 0.318 0.403
S 0.252 0.597 0.682
S 0.318 0.032 0.748
S 0.403 0.748 0.032
S 0.597 0.252 0.968
S 0.682 0.968 0.252
S 0.748 0.403 0.318
S 0.968 0.682 0.597

---

(5)
YGa5Tc | PBE | relaxed

Properties
- SG = P4/mmm, No. 123
- crystal system = tetragonal
- DFT formation energy (meV per atom) = -383

abc: 4.343 4.343 6.974
angles: 90.00 90.00 90.00
Element x y z (fractional)
Y 0.000 0.000 0.000
Ga 0.000 0.500 0.305
Ga 0.000 0.500 0.695
Ga 0.500 0.000 0.305
Ga 0.500 0.000 0.695
Ga 0.500 0.500 0.000
Tc 0.000 0.000 0.500

---

(6)
Ca2YTe | PBE | relaxed

Properties
- SG = P4/mmm, No. 123
- E_form (uncorrected) (eV per atom) = -0.365
- crystal system = tetragonal

abc: 5.403 5.403 4.389
angles: 90.00 90.00 90.00
Element x y z (fractional)
Ca 0.000 0.500 0.000
Ca 0.500 0.000 0.000
Y 0.000 0.000 0.500
Te 0.500 0.500 0.500

---

(7)
TbNdAs2Pd5 | PBE | relaxed

Properties
- SG = P4/mmm, No. 123
- crystal system = tetragonal
- DFT formation energy (meV per atom) = -799

abc: 4.260 4.260 9.369
angles: 90.00 90.00 90.00
Element x y z (fractional)
Tb 0.000 0.000 0.000
Nd 0.000 0.000 0.500
As 0.500 0.500 0.136
As 0.500 0.500 0.864
Pd 0.000 0.500 0.273
Pd 0.000 0.500 0.727
Pd 0.500 0.000 0.273
Pd 0.500 0.000 0.727
Pd 0.500 0.500 0.500

---

(8)
MgZnSn2 | PBE | relaxed

Properties
- SG = R-3m, No. 166
- crystal system = trigonal
- DFT formation energy (meV per atom) = 117
- distance to the lowest polymorph of the same formula (eV per formula unit) = 0.456

abc: 3.336 3.336 31.051
angles: 90.00 90.00 120.00
Element x y z (fractional)
Mg 0.000 0.000 0.000
Mg 0.333 0.667 0.667
Mg 0.667 0.333 0.333
Zn 0.000 0.000 0.500
Zn 0.333 0.667 0.167
Zn 0.667 0.333 0.833
Sn 0.000 0.000 0.096
Sn 0.000 0.000 0.904
Sn 0.333 0.667 0.571
Sn 0.333 0.667 0.762
Sn 0.667 0.333 0.238
Sn 0.667 0.333 0.429

---

no.,DFT total energy (eV per atom),ρ (Mg/m³),magnetic moment (μB/cell)
1,-4.138,4.047,6.000
2,-9.178,6.087,0.000
3,-6.681,11.378,27.929
4,-4.652,3.269,7.997
5,-4.949,6.759,0.000
6,-3.767,3.845,0.017
7,-5.761,9.620,0.000
8,-2.602,5.446,0.000